First-principles (PBE with a Hubbard U) data for crystalline SrMnBiO4 at its relaxed geometry, as listed in Alexandria.

Cell: 6.3331 6.0378 7.1285 Å, 90.00 114.05 90.00°
Sites, in units of the cell vectors:
Sr  0.2324  0.2500  0.4718
Sr  0.7676  0.7500  0.5282
Mn  0.2165  0.7500  0.1994
Mn  0.7835  0.2500  0.8006
Bi  0.3187  0.2500  0.0229
Bi  0.6813  0.7500  0.9771
O  0.0186  0.2500  0.6899
O  0.0198  0.2500  0.0904
O  0.4370  0.5197  0.2623
O  0.4370  0.9803  0.2623
O  0.5630  0.0197  0.7377
O  0.5630  0.4803  0.7377
O  0.9802  0.7500  0.9096
O  0.9814  0.7500  0.3101

- space group = No. 11
- VASP energy (eV/cell) = -89.0